Material: MnCoNiRh
Method: DFT, PBE
State: optimized geometry

## Properties
Energy of formation from the pure elements   100 meV/atom

Lattice parameters (Å, degrees): 5.8593 5.8593 5.8593 90.00 90.00 90.00
Last column: nearest neighbours and their distance in Å.
Space group F-43m (No. 216)
Symmetry-distinct sites (fractional):
1 Mn 0.0000 0.0000 0.0000  4 Co 2.54, 4 Rh 2.54
2 Co 0.2500 0.2500 0.7500  4 Mn 2.54, 4 Ni 2.54
3 Ni 0.0000 0.0000 0.5000  4 Co 2.54, 4 Rh 2.54
4 Rh 0.2500 0.2500 0.2500  4 Mn 2.54, 4 Ni 2.54

---

Material: DyTm2Zn2Ga2
Method: DFT, PBE
State: optimized geometry

## Properties
Energy of formation from the pure elements   -388 meV/atom

Lattice parameters (Å, degrees): 4.4328 4.4328 26.8417 90.00 90.00 120.00
Last column: nearest neighbours and their distance in Å.
Space group R-3m (No. 166, hexagonal axes)
Symmetry-distinct sites (fractional):
1 Dy 0.0000 0.0000 0.0000  6 Zn 3.11, 6 Ga 3.22, 2 Tm 3.42
2 Tm 0.0000 0.0000 0.1273  3 Ga 2.95, 3 Zn 3.04
3 Zn 0.0000 0.0000 0.3994  3 Ga 2.57
4 Ga 0.0000 0.0000 0.2608  3 Zn 2.57

---

Material: Mg2In2Ga3
Method: DFT, PBE
State: optimized geometry

## Properties
Energy of formation from the pure elements   16 meV/atom

Lattice parameters (Å, degrees): 12.1607 12.1607 7.4216 90.00 90.00 120.00
Last column: nearest neighbours and their distance in Å.
Space group R3 (No. 146, hexagonal axes)
Symmetry-distinct sites (fractional):
1 Mg 0.0000 0.0000 0.0000  6 Ga 2.87-2.95, 1 In 2.92
2 Mg 0.0172 0.4834 0.9328  6 Ga 2.87-2.95, 1 In 2.92
3 In 0.0000 0.0000 0.6068  1 Mg 2.92, 3 Ga 2.94, 3 In 3.24
4 In 0.0527 0.6052 0.3966  1 Mg 2.92, 3 Ga 2.95, 3 In 3.24
5 Ga 0.0975 0.4237 0.6018  4 Mg 2.87-2.95, 2 In 2.95, 4 Ga 3.17-3.18
6 Ga 0.1740 0.0976 0.2968  4 Mg 2.87-2.95, 2 In 2.94-2.95, 4 Ga 3.17-3.18

---

> Among the records above, which one has the highest energy of formation from the pure elements?

MnCoNiRh

---

> What is the formula in the first record?

MnCoNiRh